! K2DyInO4 | the Alexandria database | PBE-GGA | optimized geometry; values from VASP
! * raw formation energy: -2.144 eV per atom
! * symmetry: P2/m, No. 10
! * DOS at the Fermi energy: 0.00 states/eV/f.u.
! * ρ: 5.51 g/cm³
! * volume: 126.50 Å³/f.u.
! * energy: -5.8146 eV per atom
&SYSTEM
  ibrav = 0, nat = 8, ntyp = 4
/
ATOMIC_SPECIES
K 39.10 K.upf
In 114.82 In.upf
O 16.00 O.upf
Dy 162.50 Dy.upf
ATOMIC_POSITIONS angstrom
K 1.702 0.599 3.208
In 0.000 0.000 0.000
O -0.372 1.562 1.615
K 1.803 3.110 0.897
O -0.474 -0.955 3.961
O 3.878 2.153 2.455
Dy -1.967 0.324 2.772
O 1.910 2.471 5.261
CELL_PARAMETERS angstrom
-1.866 2.836 0.461
-2.068 -2.187 5.083
5.472 3.384 1.333